# CdAs2O6

A relaxed structure of CdAs2O6 (PBE, the Alexandria database).

As for the total energy: -5.678 eV per atom. The calculation puts the density of states at the Fermi level at 0.0 states/eV per cell. The raw formation energy is -1.238 eV per atom. The crystal system is trigonal.

The structure belongs to space group P-31m (No. 162); the cell edges are 4.9274, 4.9274 and 4.9842 Å and the angles 90.00°, 90.00° and 120.00°. The inequivalent atoms are Cd at (0.0000, 0.0000, 0.0000), As at (0.3333, 0.6667, 0.5000) and O at (0.0000, 0.3764, 0.7094).

# Sr2MgAsO

A relaxed structure of Sr2MgAsO (PBE, the Alexandria database).

As for the total energy: -4.336 eV per atom. The calculation puts the density of states at the Fermi level at 2.1 states/eV per cell. The raw formation energy is -1.422 eV per atom. The crystal system is tetragonal.

The structure belongs to space group P4/mmm (No. 123); the cell edges are 5.165, 5.165 and 4.315 Å and the angles 90.00°, 90.00° and 90.00°. The inequivalent atoms are Sr at (0.000, 0.500, 0.000), Mg at (0.000, 0.000, 0.500), As at (0.500, 0.500, 0.500) and O at (0.000, 0.000, 0.000).

# Y2BePt

A relaxed structure of Y2BePt (PBE, the Alexandria database).

As for the total energy: -6.251 eV per atom. The calculation puts the density of states at the Fermi level at 1.9 states/eV per cell. The crystal system is tetragonal. Its formation energy is -0.577 eV per atom.

The structure belongs to space group P4/mmm (No. 123); the cell edges are 3.496, 3.496 and 6.803 Å and the angles 90.00°, 90.00° and 90.00°. The inequivalent atoms are Y at (0.000, 0.000, 0.246), Be at (0.500, 0.500, 0.000) and Pt at (0.500, 0.500, 0.500).

# MnTeCl2

A relaxed structure of MnTeCl2 (PBE, the Alexandria database).

As for the total energy: -3.806 eV per atom. The calculation puts the density of states at the Fermi level at 3.3 states/eV per cell. The raw formation energy is 0.195 eV per atom. The crystal system is orthorhombic.

The structure belongs to space group Cmmm (No. 65); the cell edges are 6.249, 8.828 and 3.263 Å and the angles 90.00°, 90.00° and 90.00°. The inequivalent atoms are Mn at (0.000, 0.000, 0.000), Te at (0.000, 0.500, 0.000) and Cl at (0.250, 0.250, 0.500).

# FeSn

A relaxed structure of FeSn (PBE, the Alexandria database).

As for the total energy: -6.234 eV per atom. The calculation puts the density of states at the Fermi level at 4.7 states/eV per cell. The crystal system is hexagonal. Its formation energy is -0.002 eV per atom.

The structure belongs to space group P6/mmm (No. 191); the cell edges are 5.3012, 5.3012 and 4.4464 Å and the angles 90.00°, 90.00° and 120.00°. The inequivalent atoms are Fe at (0.0000, 0.5000, 0.0000), Sn at (0.0000, 0.0000, 0.0000) and Sn at (0.3333, 0.6667, 0.5000).

# SiPdS2N

A relaxed structure of SiPdS2N (PBE, the Alexandria database).

As for the total energy: -4.469 eV per atom. The calculation puts the density of states at the Fermi level at 3.0 states/eV per cell. The raw formation energy is 0.970 eV per atom. The crystal system is tetragonal.

The structure belongs to space group P4/mmm (No. 123); the cell edges are 4.894, 4.894 and 3.703 Å and the angles 90.00°, 90.00° and 90.00°. The inequivalent atoms are Si at (0.000, 0.000, 0.000), Pd at (0.500, 0.500, 0.500), S at (0.000, 0.500, 0.500) and N at (0.500, 0.500, 0.000).

# K2OsPdO4

A relaxed structure of K2OsPdO4 (PBE, the Alexandria database).

As for the total energy: -5.749 eV per atom. The raw formation energy is -0.942 eV per atom. The crystal system is tetragonal.

The structure belongs to space group I-4 (No. 82); the cell edges are 6.222, 6.222 and 7.188 Å and the angles 90.00°, 90.00° and 90.00°. The inequivalent atoms are K at (0.000, 0.000, 0.000), K at (0.000, 0.500, 0.250), Os at (0.000, 0.500, 0.750), Pd at (0.000, 0.000, 0.500) and O at (0.148, 0.743, 0.679).

# Li2PtAu

A relaxed structure of Li2PtAu (PBE, the Alexandria database).

As for the total energy: -3.830 eV per atom. The calculation puts the density of states at the Fermi level at 5.2 states/eV per cell. The crystal system is monoclinic. Its formation energy is -0.543 eV per atom.

The structure belongs to space group C2/m (No. 12); the cell edges are 9.224, 5.624 and 4.617 Å and the angles 90.00°, 104.46° and 90.00°. The inequivalent atoms are Li at (0.125, 0.244, 0.249), Pt at (0.123, 0.000, 0.743) and Au at (0.127, 0.500, 0.756).

# YCrCl2

A relaxed structure of YCrCl2 (PBE, the Alexandria database).

As for the total energy: -5.718 eV per atom. The calculation puts the density of states at the Fermi level at 2.8 states/eV per cell. The raw formation energy is -0.773 eV per atom. The crystal system is monoclinic.

The structure belongs to space group C2/m (No. 12); the cell edges are 12.578, 3.486 and 5.073 Å and the angles 90.00°, 91.39° and 90.00°. The inequivalent atoms are Y at (0.000, 0.000, 0.000), Cr at (0.000, 0.500, 0.500) and Cl at (0.148, 0.500, 0.229).

# Zr2TeW

A relaxed structure of Zr2TeW (PBE, the Alexandria database).

As for the total energy: -8.356 eV per atom. The calculation puts the density of states at the Fermi level at 4.2 states/eV per cell. The raw formation energy is -0.058 eV per atom. The crystal system is orthorhombic.

The structure belongs to space group Imm2 (No. 44); the cell edges are 3.570, 4.676 and 9.923 Å and the angles 90.00°, 90.00° and 90.00°. The inequivalent atoms are Zr at (0.000, 0.000, 0.000), Zr at (0.000, 0.500, 0.237), Te at (0.000, 0.500, 0.779) and W at (0.000, 0.000, 0.514).

# CaIn2Ag5

A relaxed structure of CaIn2Ag5 (PBE, the Alexandria database).

As for the total energy: -2.820 eV per atom. The calculation puts the density of states at the Fermi level at 6.6 states/eV per cell. The crystal system is orthorhombic. Its formation energy is -0.103 eV per atom.

The structure belongs to space group Immm (No. 71); the cell edges are 3.865, 7.989 and 11.528 Å and the angles 90.00°, 90.00° and 90.00°. The inequivalent atoms are Ca at (0.000, 0.000, 0.000), In at (0.000, 0.500, 0.257), Ag at (0.000, 0.199, 0.375) and Ag at (0.000, 0.500, 0.000).

# Er2BiN

A relaxed structure of Er2BiN (PBE, the Alexandria database).

As for the total energy: -5.775 eV per atom. The calculation puts the density of states at the Fermi level at 2.4 states/eV per cell. The raw formation energy is -0.442 eV per atom. The crystal system is tetragonal.

The structure belongs to space group P4/mmm (No. 123); the cell edges are 3.196, 3.196 and 7.777 Å and the angles 90.00°, 90.00° and 90.00°. The inequivalent atoms are Er at (0.000, 0.000, 0.182), Bi at (0.500, 0.500, 0.500) and N at (0.500, 0.500, 0.000).

> Number 5 is which compound?

FeSn